Entry A
The following is a DFT calculation (PBE-GGA) of a relaxed structure of Pm4Tm2Sc.

```
data_Pm4Tm2Sc
_chemical_formula_sum 'Pm8 Tm4 Sc2'
_space_group_name_H-M_alt 'C m m m'
_space_group_IT_number 65
_space_group_name_Hall '-C 2 2'
_cell_length_a 6.104
_cell_length_b 12.837
_cell_length_c 5.935
_cell_angle_alpha 90.00
_cell_angle_beta 90.00
_cell_angle_gamma 90.00
loop_
_atom_site_label
_atom_site_type_symbol
_atom_site_fract_x
_atom_site_fract_y
_atom_site_fract_z
_atom_site_occupancy
Pm1 Pm 0.000 0.137 0.000 1
Pm2 Pm 0.000 0.313 0.500 1
Tm1 Tm 0.000 0.388 0.000 1
Sc1 Sc 0.000 0.000 0.500 1
```

Entry B
The following is a DFT calculation (PBE-GGA) of a relaxed structure of Pm4Tm2Sc.

```
data_Pm4Tm2Sc
_chemical_formula_sum 'Pm16 Tm8 Sc4'
_space_group_name_H-M_alt 'C m c e'
_space_group_IT_number 64
_space_group_name_Hall '-C 2ac 2'
_cell_length_a 5.304
_cell_length_b 11.010
_cell_length_c 15.480
_cell_angle_alpha 90.00
_cell_angle_beta 90.00
_cell_angle_gamma 90.00
loop_
_atom_site_label
_atom_site_type_symbol
_atom_site_fract_x
_atom_site_fract_y
_atom_site_fract_z
_atom_site_occupancy
Pm1 Pm 0.000 0.084 0.191 1
Pm2 Pm 0.000 0.197 0.430 1
Tm1 Tm 0.000 0.115 0.654 1
Sc1 Sc 0.000 0.000 0.000 1
```

Stability check: which of them is most stable? entry B.

Entry A
The following is a DFT calculation (PBE-GGA) of a relaxed structure of PmTm7Sc4.

```
data_PmTm7Sc4
_chemical_formula_sum 'Pm1 Tm7 Sc4'
_space_group_name_H-M_alt 'P -1'
_space_group_IT_number 2
_cell_length_a 5.978
_cell_length_b 6.904
_cell_length_c 8.496
_cell_angle_alpha 90.02
_cell_angle_beta 103.66
_cell_angle_gamma 90.06
loop_
_space_group_symop_operation_xyz
'x,y,z'
'-x,-y,-z'
loop_
_atom_site_label
_atom_site_type_symbol
_atom_site_fract_x
_atom_site_fract_y
_atom_site_fract_z
_atom_site_occupancy
Pm1 Pm 0.000 0.000 0.000 1
Tm1 Tm 0.000 0.500 0.000 1
Tm2 Tm 0.224 0.000 0.663 1
Tm3 Tm 0.283 0.744 0.340 1
Tm4 Tm 0.498 0.254 0.004 1
Sc1 Sc 0.217 0.500 0.660 1
Sc2 Sc 0.276 0.255 0.338 1
```

Entry B
The following is a DFT calculation (PBE-GGA) of a relaxed structure of PmTm7Sc4.

```
data_PmTm7Sc4
_chemical_formula_sum 'Pm2 Tm14 Sc8'
_space_group_name_H-M_alt 'C 1 2/m 1'
_space_group_IT_number 12
_cell_length_a 15.428
_cell_length_b 5.677
_cell_length_c 9.428
_cell_angle_alpha 90.00
_cell_angle_beta 121.93
_cell_angle_gamma 90.00
loop_
_space_group_symop_operation_xyz
'x,y,z'
'-x,-y,-z'
'-x,y,-z'
'x,-y,z'
'x+1/2,y+1/2,z'
'-x+1/2,-y+1/2,-z'
'-x+1/2,y+1/2,-z'
'x+1/2,-y+1/2,z'
loop_
_atom_site_label
_atom_site_type_symbol
_atom_site_fract_x
_atom_site_fract_y
_atom_site_fract_z
_atom_site_occupancy
Pm1 Pm 0.000 0.000 0.000 1
Tm1 Tm 0.000 0.500 0.000 1
Tm2 Tm 0.086 0.000 0.441 1
Tm3 Tm 0.208 0.000 0.880 1
Tm4 Tm 0.247 0.000 0.281 1
Sc1 Sc 0.052 0.500 0.703 1
Sc2 Sc 0.171 0.500 0.349 1
```

Stability check: which of them is most stable? entry A.

Entry A
The following is a DFT calculation (PBE-GGA) of a relaxed structure of Pm2Tm4Sc.

```
data_Pm2Tm4Sc
_chemical_formula_sum 'Pm4 Tm8 Sc2'
_space_group_name_H-M_alt 'P 1'
_space_group_IT_number 1
_cell_length_a 6.189
_cell_length_b 8.325
_cell_length_c 9.049
_cell_angle_alpha 95.48
_cell_angle_beta 90.01
_cell_angle_gamma 111.76
loop_
_space_group_symop_operation_xyz
'x,y,z'
loop_
_atom_site_label
_atom_site_type_symbol
_atom_site_fract_x
_atom_site_fract_y
_atom_site_fract_z
_atom_site_occupancy
Pm1 Pm 0.000 0.000 0.000 1
Pm2 Pm 0.094 0.853 0.643 1
Pm3 Pm 0.285 0.566 0.425 1
Pm4 Pm 0.667 0.003 0.502 1
Tm1 Tm 0.142 0.292 0.721 1
Tm2 Tm 0.239 0.144 0.355 1
Tm3 Tm 0.420 0.850 0.141 1
Tm4 Tm 0.520 0.709 0.793 1
Tm5 Tm 0.571 0.153 0.863 1
Tm6 Tm 0.711 0.429 0.576 1
Tm7 Tm 0.807 0.288 0.210 1
Tm8 Tm 0.849 0.708 0.277 1
Sc1 Sc 0.380 0.429 0.069 1
Sc2 Sc 0.948 0.566 0.933 1
```

Entry B
The following is a DFT calculation (PBE-GGA) of a relaxed structure of Pm2Tm4Sc.

```
data_Pm2Tm4Sc
_chemical_formula_sum 'Pm8 Tm16 Sc4'
_space_group_name_H-M_alt 'C m c m'
_space_group_IT_number 63
_space_group_name_Hall '-C 2c 2'
_cell_length_a 6.645
_cell_length_b 11.873
_cell_length_c 11.130
_cell_angle_alpha 90.00
_cell_angle_beta 90.00
_cell_angle_gamma 90.00
loop_
_atom_site_label
_atom_site_type_symbol
_atom_site_fract_x
_atom_site_fract_y
_atom_site_fract_z
_atom_site_occupancy
Pm1 Pm 0.000 0.029 0.250 1
Pm2 Pm 0.000 0.322 0.250 1
Tm1 Tm 0.000 0.223 0.543 1
Tm2 Tm 0.222 0.500 0.000 1
Sc1 Sc 0.000 0.399 0.750 1
```

Stability check: which of them is most stable? entry A.

Entry A
The following is a DFT calculation (PBE-GGA) of a relaxed structure of Pm3TmSc6.

```
data_Pm3TmSc6
_chemical_formula_sum 'Pm12 Tm4 Sc24'
_space_group_name_H-M_alt 'C m c 21'
_space_group_IT_number 36
_cell_length_a 10.361
_cell_length_b 18.001
_cell_length_c 6.035
_cell_angle_alpha 90.00
_cell_angle_beta 90.00
_cell_angle_gamma 90.00
loop_
_space_group_symop_operation_xyz
'x,y,z'
'-x,-y,z+1/2'
'-x,y,z'
'x,-y,z+1/2'
'x+1/2,y+1/2,z'
'-x+1/2,-y+1/2,z+1/2'
'-x+1/2,y+1/2,z'
'x+1/2,-y+1/2,z+1/2'
loop_
_atom_site_label
_atom_site_type_symbol
_atom_site_fract_x
_atom_site_fract_y
_atom_site_fract_z
_atom_site_occupancy
Pm1 Pm 0.000 0.044 0.000 1
Pm2 Pm 0.166 0.452 0.663 1
Tm1 Tm 0.000 0.206 0.288 1
Sc1 Sc 0.000 0.276 0.781 1
Sc2 Sc 0.000 0.382 0.199 1
Sc3 Sc 0.184 0.117 0.588 1
Sc4 Sc 0.247 0.286 0.486 1
```

Entry B
The following is a DFT calculation (PBE-GGA) of a relaxed structure of Pm3TmSc6.

```
data_Pm3TmSc6
_chemical_formula_sum 'Pm9 Tm3 Sc18'
_space_group_name_H-M_alt 'R 3'
_space_group_IT_number 146
_space_group_name_Hall 'R 3'
_cell_length_a 9.3230
_cell_length_b 9.3230
_cell_length_c 11.2744
_cell_angle_alpha 90.00
_cell_angle_beta 90.00
_cell_angle_gamma 120.00
loop_
_atom_site_label
_atom_site_type_symbol
_atom_site_fract_x
_atom_site_fract_y
_atom_site_fract_z
_atom_site_occupancy
Pm1 Pm 0.0000 0.0000 0.0000 1
Pm2 Pm 0.0000 0.0000 0.2500 1
Pm3 Pm 0.0000 0.0000 0.5001 1
Tm1 Tm 0.0000 0.0000 0.7500 1
Sc1 Sc 0.0032 0.3403 0.1668 1
Sc2 Sc 0.0069 0.6703 0.6676 1
```

Stability check: which of them is most stable? entry A.

Entry A
The following is a DFT calculation (PBE-GGA) of a relaxed structure of PmTmSc4.

```
data_PmTmSc4
_chemical_formula_sum 'Pm2 Tm2 Sc8'
_space_group_name_H-M_alt 'P 1 21/m 1'
_space_group_IT_number 11
_cell_length_a 6.137
_cell_length_b 6.612
_cell_length_c 8.273
_cell_angle_alpha 90.00
_cell_angle_beta 103.59
_cell_angle_gamma 90.00
loop_
_space_group_symop_operation_xyz
'x,y,z'
'-x,-y,-z'
'-x,y+1/2,-z'
'x,-y+1/2,z'
loop_
_atom_site_label
_atom_site_type_symbol
_atom_site_fract_x
_atom_site_fract_y
_atom_site_fract_z
_atom_site_occupancy
Pm1 Pm 0.144 0.250 0.348 1
Tm1 Tm 0.279 0.750 0.996 1
Sc1 Sc 0.120 0.750 0.359 1
Sc2 Sc 0.231 0.250 0.982 1
Sc3 Sc 0.401 0.003 0.688 1
```

Entry B
The following is a DFT calculation (PBE-GGA) of a relaxed structure of PmTmSc4.

```
data_PmTmSc4
_chemical_formula_sum 'Pm4 Tm4 Sc16'
_space_group_name_H-M_alt 'C m c m'
_space_group_IT_number 63
_space_group_name_Hall '-C 2c 2'
_cell_length_a 6.542
_cell_length_b 18.477
_cell_length_c 5.320
_cell_angle_alpha 90.00
_cell_angle_beta 90.00
_cell_angle_gamma 90.00
loop_
_atom_site_label
_atom_site_type_symbol
_atom_site_fract_x
_atom_site_fract_y
_atom_site_fract_z
_atom_site_occupancy
Pm1 Pm 0.000 0.123 0.250 1
Tm1 Tm 0.000 0.373 0.750 1
Sc1 Sc 0.245 0.458 0.250 1
Sc2 Sc 0.249 0.291 0.250 1
```

Stability check: which of them is most stable? entry B.

Entry A
The following is a DFT calculation (PBE-GGA) of a relaxed structure of PmTm9Sc2.

```
data_PmTm9Sc2
_chemical_formula_sum 'Pm1 Tm9 Sc2'
_space_group_name_H-M_alt 'P 4/m m m'
_space_group_IT_number 123
_space_group_name_Hall '-P 4 2'
_cell_length_a 4.902
_cell_length_b 4.902
_cell_length_c 14.695
_cell_angle_alpha 90.00
_cell_angle_beta 90.00
_cell_angle_gamma 90.00
loop_
_atom_site_label
_atom_site_type_symbol
_atom_site_fract_x
_atom_site_fract_y
_atom_site_fract_z
_atom_site_occupancy
Pm1 Pm 0.000 0.000 0.000 1
Tm1 Tm 0.000 0.500 0.173 1
Tm2 Tm 0.000 0.500 0.500 1
Tm3 Tm 0.500 0.500 0.000 1
Tm4 Tm 0.500 0.500 0.337 1
Sc1 Sc 0.000 0.000 0.336 1
```

Entry B
The following is a DFT calculation (PBE-GGA) of a relaxed structure of PmTm9Sc2.

```
data_PmTm9Sc2
_chemical_formula_sum 'Pm1 Tm9 Sc2'
_space_group_name_H-M_alt 'P 6/m m m'
_space_group_IT_number 191
_space_group_name_Hall '-P 6 2'
_cell_length_a 10.9277
_cell_length_b 10.9277
_cell_length_c 3.4367
_cell_angle_alpha 90.00
_cell_angle_beta 90.00
_cell_angle_gamma 120.00
loop_
_atom_site_label
_atom_site_type_symbol
_atom_site_fract_x
_atom_site_fract_y
_atom_site_fract_z
_atom_site_occupancy
Pm1 Pm 0.0000 0.0000 0.0000 1
Tm1 Tm 0.0000 0.5000 0.0000 1
Tm2 Tm 0.1807 0.3613 0.5000 1
Sc1 Sc 0.3333 0.6667 0.0000 1
```

Stability check: which of them is most stable? entry B.

Entry A
The following is a DFT calculation (PBE-GGA) of a relaxed structure of Pm3TmSc3.

```
data_Pm3TmSc3
_chemical_formula_sum 'Pm18 Tm6 Sc18'
_space_group_name_H-M_alt 'R -3'
_space_group_IT_number 148
_space_group_name_Hall '-R 3'
_cell_length_a 8.3799
_cell_length_b 8.3799
_cell_length_c 21.0942
_cell_angle_alpha 90.00
_cell_angle_beta 90.00
_cell_angle_gamma 120.00
loop_
_atom_site_label
_atom_site_type_symbol
_atom_site_fract_x
_atom_site_fract_y
_atom_site_fract_z
_atom_site_occupancy
Pm1 Pm 0.0451 0.5975 0.3829 1
Tm1 Tm 0.0000 0.0000 0.1553 1
Sc1 Sc 0.0057 0.7793 0.5558 1
```

Entry B
The following is a DFT calculation (PBE-GGA) of a relaxed structure of Pm3TmSc3.

```
data_Pm3TmSc3
_chemical_formula_sum 'Pm6 Tm2 Sc6'
_space_group_name_H-M_alt 'P 63/m'
_space_group_IT_number 176
_space_group_name_Hall '-P 6c'
_cell_length_a 9.2888
_cell_length_b 9.2888
_cell_length_c 5.5366
_cell_angle_alpha 90.00
_cell_angle_beta 90.00
_cell_angle_gamma 120.00
loop_
_atom_site_label
_atom_site_type_symbol
_atom_site_fract_x
_atom_site_fract_y
_atom_site_fract_z
_atom_site_occupancy
Pm1 Pm 0.0490 0.2493 0.2500 1
Tm1 Tm 0.3333 0.6667 0.2500 1
Sc1 Sc 0.0968 0.4846 0.7500 1
```

Stability check: which of them is most stable? entry B.

Entry A
The following is a DFT calculation (PBE-GGA) of a relaxed structure of PmTmSc3.

```
data_PmTmSc3
_chemical_formula_sum 'Pm4 Tm4 Sc12'
_space_group_name_H-M_alt 'C 1 2/m 1'
_space_group_IT_number 12
_cell_length_a 10.648
_cell_length_b 6.623
_cell_length_c 8.431
_cell_angle_alpha 90.00
_cell_angle_beta 108.12
_cell_angle_gamma 90.00
loop_
_space_group_symop_operation_xyz
'x,y,z'
'-x,-y,-z'
'-x,y,-z'
'x,-y,z'
'x+1/2,y+1/2,z'
'-x+1/2,-y+1/2,-z'
'-x+1/2,y+1/2,-z'
'x+1/2,-y+1/2,z'
loop_
_atom_site_label
_atom_site_type_symbol
_atom_site_fract_x
_atom_site_fract_y
_atom_site_fract_z
_atom_site_occupancy
Pm1 Pm 0.062 0.000 0.229 1
Tm1 Tm 0.215 0.500 0.003 1
Sc1 Sc 0.067 0.500 0.277 1
Sc2 Sc 0.153 0.248 0.615 1
```

Entry B
The following is a DFT calculation (PBE-GGA) of a relaxed structure of PmTmSc3.

```
data_PmTmSc3
_chemical_formula_sum 'Pm4 Tm4 Sc12'
_space_group_name_H-M_alt 'P 1 21/c 1'
_space_group_IT_number 14
_cell_length_a 8.734
_cell_length_b 5.970
_cell_length_c 11.623
_cell_angle_alpha 90.00
_cell_angle_beta 114.63
_cell_angle_gamma 90.00
loop_
_space_group_symop_operation_xyz
'x,y,z'
'-x,-y,-z'
'-x,y+1/2,-z+1/2'
'x,-y+1/2,z+1/2'
loop_
_atom_site_label
_atom_site_type_symbol
_atom_site_fract_x
_atom_site_fract_y
_atom_site_fract_z
_atom_site_occupancy
Pm1 Pm 0.157 0.168 0.103 1
Tm1 Tm 0.259 0.661 0.000 1
Sc1 Sc 0.052 0.666 0.204 1
Sc2 Sc 0.353 0.162 0.900 1
Sc3 Sc 0.448 0.675 0.799 1
```

Stability check: which of them is most stable? entry B.